1.
BaSr2Mo, relaxed, DFT PBE-GGA; energy above the most stable polymorph in this dataset = 0.00 eV per formula unit; space group = P4/mmm (123); ΔH_f (0 K) = 3.02 eV/f.u.
1.0
3.9639 0.0000 0.0000
0.0000 3.9639 0.0000
0.0000 0.0000 10.6678
Ba Sr Mo
1 2 1
direct
0.0000 0.0000 0.0000 Ba
0.5000 0.5000 0.3227 Sr
0.5000 0.5000 0.6773 Sr
0.0000 0.0000 0.5000 Mo

=====

2.
BaSr2Mo, relaxed, DFT PBE-GGA; energy above the most stable polymorph in this dataset = 0.01 eV per formula unit; space group = Pmm2 (25); ΔH_f (0 K) = 3.02 eV/f.u.
1.0
3.9863 0.0000 0.0000
0.0000 4.0005 0.0000
0.0000 0.0000 10.3866
Ba Sr Mo
1 2 1
direct
0.0000 0.0000 0.0000 Ba
0.0000 0.0000 0.6272 Sr
0.5000 0.5000 0.3241 Sr
0.5000 0.5000 0.8059 Mo

=====

3.
BaSr2Mo, relaxed, DFT PBE-GGA; energy above the most stable polymorph in this dataset = 0.89 eV per formula unit; space group = C2/m (12); ΔH_f (0 K) = 3.90 eV/f.u.
1.0
3.6968 -6.0791 0.0000
3.6968 6.0791 0.0000
-1.4426 0.0000 3.5902
Ba Sr Mo
1 2 1
direct
0.0000 0.0000 0.0000 Ba
0.0000 0.5000 0.5000 Sr
0.5000 0.0000 0.5000 Sr
0.5000 0.5000 0.0000 Mo

=====

What is the ΔH_f (0 K) in the second record? 3.02 eV/f.u.